## 1
This record from Alexandria via LeMat-Bulk describes HgMoSCl2 after structural relaxation. The functional is GGA-PBE.

a = 5.144 Å, b = 5.144 Å, c = 5.126 Å
α = 90.00°, β = 90.00°, γ = 90.00°
Space group P4/mmm (No. 123)
Symmetry-distinct sites (fractional):
Hg  0.000  0.000  0.000 [1 per cell]
Mo  0.500  0.500  0.500 [1 per cell]
S  0.000  0.000  0.500 [1 per cell]
Cl  0.000  0.500  0.000 [2 per cell]

N(E_F): 3.87 states/eV per cell

***

## 2
This record from Alexandria via LeMat-Bulk describes HgMoSCl2 after structural relaxation. The functional is GGA-PBE.

a = 5.028 Å, b = 5.028 Å, c = 4.651 Å
α = 90.00°, β = 90.00°, γ = 90.00°
Space group P4/mmm (No. 123)
Symmetry-distinct sites (fractional):
Hg  0.000  0.000  0.000 [1 per cell]
Mo  0.500  0.500  0.500 [1 per cell]
S  0.500  0.500  0.000 [1 per cell]
Cl  0.000  0.500  0.500 [2 per cell]

N(E_F): 1.53 states/eV per cell

***

Preferred: 2; penalty for the next structure: 1010 meV/atom.

***

## 1
This record from Alexandria via LeMat-Bulk describes HgNCl3 after structural relaxation. The functional is GGA-PBE.

a = 4.538 Å, b = 4.538 Å, c = 4.538 Å
α = 90.00°, β = 90.00°, γ = 90.00°
Space group Pm-3m (No. 221)
Symmetry-distinct sites (fractional):
Hg  0.000  0.000  0.000 [1 per cell]
N  0.500  0.500  0.500 [1 per cell]
Cl  0.000  0.500  0.500 [3 per cell]

N(E_F): 2.15 states/eV per cell

***

## 2
This record from Alexandria via LeMat-Bulk describes HgNCl3 after structural relaxation. The functional is GGA-PBE.

a = 5.179 Å, b = 5.179 Å, c = 5.179 Å
α = 90.00°, β = 90.00°, γ = 90.00°
Space group Pm-3m (No. 221)
Symmetry-distinct sites (fractional):
Hg  0.000  0.000  0.000 [1 per cell]
N  0.500  0.500  0.500 [1 per cell]
Cl  0.000  0.000  0.500 [3 per cell]

N(E_F): 7.67 states/eV per cell

***

## 3
This record from Alexandria via LeMat-Bulk describes HgNCl3 after structural relaxation. The functional is GGA-PBE.

a = 4.072 Å, b = 8.182 Å, c = 9.131 Å
α = 87.30°, β = 80.07°, γ = 79.97°
Space group P-1 (No. 2)
Symmetry-distinct sites (fractional):
Hg  0.060  0.058  0.211 [2 per cell]
N  0.358  0.224  0.279 [2 per cell]
Cl  0.194  0.158  0.862 [2 per cell]
Cl  0.242  0.423  0.202 [2 per cell]
Cl  0.264  0.237  0.477 [2 per cell]

***

## 4
This record from Alexandria via LeMat-Bulk describes HgNCl3 after structural relaxation. The functional is GGA-PBE.

a = 4.108 Å, b = 4.108 Å, c = 7.873 Å
α = 90.00°, β = 90.00°, γ = 90.00°
Space group P4/mmm (No. 123)
Symmetry-distinct sites (fractional):
Hg  0.000  0.000  0.000 [1 per cell]
N  0.500  0.500  0.500 [1 per cell]
Cl  0.000  0.000  0.301 [2 per cell]
Cl  0.500  0.500  0.000 [1 per cell]

N(E_F): 8.27 states/eV per cell

***

Preferred: 3; penalty for the next structure: 617 meV/atom.

***

## 1
This record from Alexandria via LeMat-Bulk describes HgNCl after structural relaxation. The functional is GGA-PBE.

a = 7.636 Å, b = 6.913 Å, c = 10.274 Å
α = 90.00°, β = 90.00°, γ = 90.00°
Space group Pnma (No. 62)
Symmetry-distinct sites (fractional):
Hg  0.000  0.000  0.000 [4 per cell]
Hg  0.000  0.000  0.500 [4 per cell]
N  0.002  0.250  0.117 [4 per cell]
N  0.132  0.250  0.568 [4 per cell]
Cl  0.122  0.250  0.741 [4 per cell]
Cl  0.193  0.250  0.218 [4 per cell]

***

## 2
This record from Alexandria via LeMat-Bulk describes HgNCl after structural relaxation. The functional is GGA-PBE.

a = 11.343 Å, b = 4.084 Å, c = 8.104 Å
α = 90.00°, β = 95.34°, γ = 90.00°
Space group P2_1/c (No. 14)
Symmetry-distinct sites (fractional):
Hg  0.151  0.249  0.391 [4 per cell]
N  0.472  0.092  0.028 [4 per cell]
Cl  0.154  0.750  0.142 [4 per cell]

N(E_F): 6.35 states/eV per cell

***

Preferred: 2; penalty for the next structure: 811 meV/atom.